[1]
VASP calculation (PBE) on a relaxed structure of MgGa2AsS6.

```
MgGa2AsS6
1.0
6.084 -5.552 0.000
6.084 5.552 0.000
-1.748 0.000 6.368
Mg Ga As S
2 4 2 12
Direct
0.101 0.899 0.750
0.899 0.101 0.250
0.220 0.401 0.744
0.401 0.220 0.244
0.599 0.780 0.756
0.780 0.599 0.256
0.237 0.763 0.250
0.763 0.237 0.750
0.022 0.194 0.640
0.087 0.636 0.887
0.194 0.022 0.140
0.286 0.446 0.436
0.364 0.913 0.613
0.446 0.286 0.936
0.554 0.714 0.064
0.636 0.087 0.387
0.714 0.554 0.564
0.806 0.978 0.860
0.913 0.364 0.113
0.978 0.806 0.360
```

DOS(E_F) (states/eV per cell): 9.8
Formation energy without anion corrections (meV/atom): -535
Crystal system: monoclinic


[2]
VASP calculation (PBE) on a relaxed structure of SmCu5Ni.

```
SmCu5Ni
1.0
8.012 0.000 0.000
0.000 5.064 0.000
0.000 0.000 9.981
Sm Cu Ni
4 20 4
Direct
0.241 0.250 0.066
0.259 0.750 0.566
0.741 0.250 0.434
0.759 0.750 0.934
0.063 0.007 0.307
0.063 0.493 0.307
0.064 0.750 0.090
0.104 0.250 0.517
0.183 0.250 0.760
0.317 0.750 0.260
0.396 0.750 0.017
0.436 0.250 0.590
0.437 0.507 0.807
0.437 0.993 0.807
0.563 0.007 0.193
0.563 0.493 0.193
0.564 0.750 0.410
0.604 0.250 0.983
0.683 0.250 0.740
0.817 0.750 0.240
0.896 0.750 0.483
0.936 0.250 0.910
0.937 0.507 0.693
0.937 0.993 0.693
0.151 0.750 0.852
0.349 0.250 0.352
0.651 0.750 0.648
0.849 0.250 0.148
```

DOS(E_F) (states/eV per cell): 16.2
Crystal system: orthorhombic
Formation energy (meV/atom): -135


[3]
VASP calculation (PBE) on a relaxed structure of HoCuAu.

```
HoCuAu
1.0
6.290 -1.935 0.000
6.290 1.935 0.000
-0.911 0.000 4.869
Ho Cu Au
2 2 2
Direct
0.111 0.111 0.299
0.889 0.889 0.701
0.232 0.232 0.845
0.768 0.768 0.155
0.422 0.422 0.229
0.578 0.578 0.771
```

DOS(E_F) (states/eV per cell): 2.9
Crystal system: monoclinic
Formation energy (meV/atom): -524


- Number 2 is which compound?
  SmCu5Ni


- DOS(E_F) of number 1 (MgGa2AsS6)?
  9.8 states/eV per cell